A plane-wave DFT calculation with PBEsol was carried out for a geometry-optimized AlPN2F structure.

Summary:
Energy   -28.9 eV for the cell shown

Lattice parameters (Å, degrees): 3.5895 3.5895 3.5732 90.00 90.00 90.00
With the nearest neighbours (Å) after each atom.
Positions (direct):
Al 0.0000 0.0000 0.0000  8 N 2.53, 4 F 2.54
P 0.5000 0.5000 0.5000  2 F 1.79, 4 N 1.79
N 0.0000 0.5000 0.5000  2 P 1.79
N 0.5000 0.0000 0.5000  2 P 1.79
F 0.5000 0.5000 0.0000  2 P 1.79

=====

A plane-wave DFT calculation with PBEsol was carried out for a geometry-optimized SbOs2Au structure.

Summary:
Energy   -30.1 eV for the cell shown

Lattice parameters (Å, degrees): 8.6284 8.6284 8.6284 19.96 19.96 19.96
With the nearest neighbours (Å) after each atom.
Positions (direct):
Sb 0.0000 0.0000 0.0000  6 Os 2.66
Os 0.2536 0.2536 0.2536  3 Sb 2.66, 3 Au 2.80
Os 0.7464 0.7464 0.7464  3 Sb 2.66, 3 Au 2.80
Au 0.5000 0.5000 0.5000  6 Os 2.80, 6 Au 2.99

=====

A plane-wave DFT calculation with PBEsol was carried out for a geometry-optimized FeCo3 structure.

Summary:
Energy of formation from the pure elements   0.059 eV per atom

Lattice parameters (Å, degrees): 4.5823 4.6127 4.6145 94.91 116.95 95.90
With the nearest neighbours (Å) after each atom.
Positions (direct):
Fe 0.1820 0.3751 0.4354  7 Co 2.36-2.41, 1 Fe 2.38
Fe 0.8180 0.6249 0.5646  7 Co 2.36-2.41, 1 Fe 2.38
Co 0.0644 0.1185 0.8041  2 Fe 2.36-2.37, 6 Co 2.38-2.45
Co 0.3132 0.6270 0.0682  3 Fe 2.39-2.41, 5 Co 2.41-2.45
Co 0.4507 0.8672 0.6887  2 Fe 2.36-2.39, 6 Co 2.38-2.44
Co 0.5493 0.1328 0.3113  2 Fe 2.36-2.39, 6 Co 2.38-2.44
Co 0.6868 0.3730 0.9318  3 Fe 2.39-2.41, 5 Co 2.41-2.45
Co 0.9356 0.8815 0.1959  2 Fe 2.36-2.37, 6 Co 2.38-2.45